# Sr2CrBr (PBE, relaxed)
data_Sr2CrBr
_chemical_formula_sum 'Sr2 Cr1 Br1'
_symmetry_space_group_name_H-M 'P 4 m m'
_symmetry_Int_Tables_number 99
_symmetry_space_group_name_Hall 'P 4 -2'
_cell_length_a 3.970
_cell_length_b 3.970
_cell_length_c 10.010
_cell_angle_alpha 90.00
_cell_angle_beta 90.00
_cell_angle_gamma 90.00
loop_
_atom_site_label
_atom_site_fract_x
_atom_site_fract_y
_atom_site_fract_z
Sr1 0.000 0.000 0.000
Sr2 0.500 0.500 0.343
Cr1 0.500 0.500 0.797
Br1 0.000 0.000 0.496
# Formation energy (no corrections) (eV per formula unit): -0.354
# Energy relative to the lowest polymorph listed for this composition (eV/atom): 0.207